Crystalline HfScTi4 at its relaxed geometry, computed with PBE.

Unit cell a=5.5261 b=5.5261 c=5.5261 alpha=60.00 beta=60.00 gamma=60.00
Closest atoms and distances in Å follow each position.
Fractional positions:
Sc: 0.0000 0.0000 0.0000  12 Ti 3.24, 4 Hf 3.38
Hf: 0.2500 0.2500 0.2500  12 Ti 3.24, 4 Sc 3.38
Ti: 0.6231 0.6231 0.1307  6 Ti 2.72-2.81
Ti: 0.6231 0.1307 0.6231  6 Ti 2.72-2.81
Ti: 0.6231 0.6231 0.6231  6 Ti 2.72-2.81
Ti: 0.1307 0.6231 0.6231  6 Ti 2.72-2.81

## Properties
SG: F-43m, No. 216
Calculated formation energy in meV/atom: 195
Total energy in eV per atom: -7.78